Density functional theory data (GGA-PBE) for a relaxed HfTe2Se crystal.

abc: 9.631 9.631 5.152
angles: 90.00 90.00 90.00
Space group I-42d (No. 122)
Inequivalent atoms, fractional coordinates:
Hf: 0.000 0.000 0.000 x4
Te: 0.160 0.250 0.125 x8
Se: 0.000 0.000 0.500 x4

Calculated values
final energy: -5.403 eV/atom
ΔE_f (raw): -0.472 eV/atom


Density functional theory data (GGA-PBE) for a relaxed Hf2Te2Se crystal.

abc: 12.888 5.697 8.114
angles: 90.00 114.20 90.00
Space group C2/m (No. 12)
Inequivalent atoms, fractional coordinates:
Hf: 0.017 0.000 0.219 x4
Hf: 0.195 0.500 0.583 x4
Te: 0.018 0.500 0.749 x4
Te: 0.164 0.000 0.614 x4
Se: 0.165 0.000 0.082 x4

Calculated values
final energy: -6.780 eV/atom
excess energy over the best structure of this formula in the dataset: 0 meV per atom
ΔE_f (raw): -0.845 eV/atom


Density functional theory data (GGA-PBE) for a relaxed Hf3TeSe crystal.

abc: 12.677 12.645 5.789
angles: 90.00 93.29 90.00
Space group C2/c (No. 15)
Inequivalent atoms, fractional coordinates:
Hf: 0.147 0.066 0.124 x8
Hf: 0.150 0.196 0.609 x8
Hf: 0.164 0.330 0.057 x8
Te: 0.161 0.426 0.555 x8
Se: 0.000 0.070 0.750 x4
Se: 0.000 0.225 0.250 x4

Calculated values
final energy: -7.790 eV/atom
excess energy over the best structure of this formula in the dataset: 0 meV per atom
ΔE_f (raw): -0.492 eV/atom


Density functional theory data (GGA-PBE) for a relaxed Hf3TeSe crystal.

abc: 4.966 4.966 4.966
angles: 90.00 90.00 90.00
Space group Pm-3m (No. 221)
Inequivalent atoms, fractional coordinates:
Hf: 0.000 0.000 0.500 x3
Te: 0.500 0.500 0.500 x1
Se: 0.000 0.000 0.000 x1

Calculated values
final energy: -7.091 eV/atom
excess energy over the best structure of this formula in the dataset: 699 meV per atom
ΔE_f (raw): 0.206 eV/atom